VASP calculation (PBE-GGA) on a geometry-optimized PuInNi3 structure.

Geometry as POSCAR:
```
PuInNi3
1.0
2.659 1.535 6.511
-2.659 1.535 6.511
0.000 -3.071 6.511
Pu In Ni
2 2 6
Cartesian
0.000 0.000 1.736 Pu
0.000 0.000 17.798 Pu
0.000 0.000 6.490 In
0.000 0.000 13.044 In
-1.332 -0.769 8.788 Ni
0.000 -1.538 10.745 Ni
-1.332 0.769 10.745 Ni
1.332 -0.769 8.788 Ni
0.000 1.538 8.788 Ni
1.332 0.769 10.745 Ni
```

* total DFT energy (no corrections): -7.0823 eV per atom
* ρ: 11.1 g/cm³
* space-group type: R-3m
* formation energy: -0.20 eV/atom

=====

VASP calculation (PBE-GGA) on a geometry-optimized NaAg8Au6 structure.

Geometry as POSCAR:
```
NaAg8Au6
1.0
3.935 2.272 5.590
-3.935 2.272 5.590
0.000 -4.544 5.590
Na Ag Au
1 8 6
Cartesian
0.000 0.000 0.000 Na
-2.671 0.174 7.745 Ag
-1.486 -2.227 9.025 Ag
0.000 0.000 4.233 Ag
1.185 -2.400 7.745 Ag
-1.185 2.400 9.025 Ag
0.000 0.000 12.537 Ag
1.486 2.227 7.745 Ag
2.671 -0.174 9.025 Ag
-1.166 -2.043 6.256 Au
-2.352 -0.012 10.513 Au
-1.187 2.031 6.256 Au
1.187 -2.031 10.513 Au
2.352 0.012 6.256 Au
1.166 2.043 10.513 Au
```

* total DFT energy (no corrections): -2.8806 eV per atom
* ρ: 11.4 g/cm³
* space-group type: R-3
* formation energy: 0.04 eV/atom

=====

VASP calculation (PBE-GGA) on a geometry-optimized HfZr2Ir2 structure.

Geometry as POSCAR:
```
HfZr2Ir2
1.0
-3.602 5.111 2.753
3.602 -5.111 2.753
3.602 5.111 -2.753
Hf Zr Ir
2 4 4
Cartesian
0.000 0.000 1.377 Hf
0.000 0.000 4.130 Hf
4.687 2.015 0.000 Zr
1.085 3.096 0.000 Zr
2.518 2.015 2.753 Zr
-1.085 3.096 2.753 Zr
2.235 0.732 0.000 Ir
2.235 -0.732 2.753 Ir
1.367 5.844 0.000 Ir
1.367 4.379 2.753 Ir
```

* distance to the lowest polymorph of the same formula: 0.86 eV per formula unit
* total DFT energy (no corrections): -9.4812 eV per atom
* ρ: 12.2 g/cm³
* space-group type: Ibam
* formation energy: -0.53 eV/atom

=====

VASP calculation (PBE-GGA) on a geometry-optimized Na3SmEr3Te8 structure.

Geometry as POSCAR:
```
Na3SmEr3Te8
1.0
7.555 -4.359 0.000
7.555 4.359 0.000
-5.043 0.000 7.651
Na Sm Er Te
3 1 3 8
Cartesian
0.000 0.000 0.000 Na
3.778 2.180 0.000 Na
3.778 -2.180 0.000 Na
-2.521 0.000 3.826 Sm
1.256 2.180 3.826 Er
1.256 -2.180 3.826 Er
5.034 0.000 3.826 Er
0.067 0.000 5.614 Te
3.739 2.119 5.614 Te
2.515 0.000 2.058 Te
6.329 2.119 2.037 Te
3.739 -2.119 5.614 Te
7.552 0.000 5.593 Te
6.329 -2.119 2.037 Te
10.001 0.000 2.038 Te
```

* total DFT energy (no corrections): -4.4079 eV per atom
* ρ: 5.7 g/cm³
* space-group type: C2/m
* ΔE_f (raw): -1241 meV/atom